First-principles (PBE-GGA) data for NaOsRh after structural relaxation, as listed in the Alexandria database.

For the spin magnetization, the calculation gives 0.00 μB/cell. As for the energy above the most stable polymorph in this dataset: 35.6 meV per atom. The calculated formation energy is 0.363 eV/atom.

Unit cell a=2.7242 b=4.3650 c=9.2616 alpha=90.00 beta=97.77 gamma=90.00
Closest atoms and distances in Å follow each position.
Space group P2_1/m (No. 11)
One atom of each set of equivalent atoms:
Na (0.1892, 0.2500, 0.3861) (multiplicity 2)  2 Na 2.72, 1 Os 2.88
Os (0.0328, 0.2500, 0.0721) (multiplicity 2)  4 Os 2.55-2.72, 6 Rh 2.65-2.74
Rh (0.4192, 0.2500, 0.8244) (multiplicity 2)  6 Os 2.65-2.74, 2 Rh 2.72

---

First-principles (PBE-GGA) data for NaOsRh after structural relaxation, as listed in the Alexandria database.

For the spin magnetization, the calculation gives 3.66 μB/cell. As for the energy above the most stable polymorph in this dataset: 1745.2 meV per atom. The calculated formation energy is 2.073 eV/atom.

Unit cell a=4.9466 b=4.9466 c=9.2277 alpha=90.00 beta=90.00 gamma=120.00
Closest atoms and distances in Å follow each position.
Space group P6_3/mmc (No. 194)
One atom of each set of equivalent atoms:
Na (0.3333, 0.6667, 0.2500) (multiplicity 2)  3 Rh 2.86
Os (0.0000, 0.0000, 0.0000) (multiplicity 2)  2 Rh 2.31
Rh (0.0000, 0.0000, 0.2500) (multiplicity 2)  2 Os 2.31

---

First-principles (PBE-GGA) data for NaOsRh after structural relaxation, as listed in the Alexandria database.

For the spin magnetization, the calculation gives 0.00 μB/cell. As for the energy above the most stable polymorph in this dataset: 692.7 meV per atom. The calculated formation energy is 1.020 eV/atom.

Unit cell a=5.9773 b=5.9773 c=5.9773 alpha=90.00 beta=90.00 gamma=90.00
Closest atoms and distances in Å follow each position.
Space group F-43m (No. 216)
One atom of each set of equivalent atoms:
Na (0.0000, 0.0000, 0.0000) (multiplicity 4)  4 Rh 2.59
Os (0.0000, 0.0000, 0.5000) (multiplicity 4)  4 Rh 2.59
Rh (0.2500, 0.2500, 0.2500) (multiplicity 4)  4 Na 2.59, 4 Os 2.59